(1)
Entry from Alexandria via LeMat-Bulk: an optimized crystal structure of Co3SnBr9 (PBE).

Values from the calculation:
SG = Cc
Uncorrected formation energy = -0.37 eV/atom
D(E_F) = 0.773 states/eV per atom

Cell: 10.5559 10.5559 13.6212 Å, 125.42 125.42 53.07°
Element x y z (fractional)
Co 0.0833 0.9167 0.5000
Co 0.2830 0.4645 0.5379
Co 0.4645 0.2830 0.0379
Co 0.6786 0.9035 0.1608
Co 0.9035 0.6786 0.6608
Co 0.9167 0.0833 0.0000
Sn 0.4150 0.8743 0.3265
Sn 0.8743 0.4150 0.8265
Br 0.0347 0.0579 0.1984
Br 0.0579 0.0347 0.6984
Br 0.0686 0.8177 0.8671
Br 0.0962 0.4265 0.5561
Br 0.1172 0.6283 0.4017
Br 0.1940 0.4187 0.9017
Br 0.3054 0.9428 0.5242
Br 0.4187 0.1940 0.4017
Br 0.4265 0.0962 0.0561
Br 0.4803 0.5447 0.7410
Br 0.5447 0.4803 0.2410
Br 0.5907 0.7431 0.1601
Br 0.6283 0.1172 0.9017
Br 0.7231 0.8722 0.5520
Br 0.7431 0.5907 0.6601
Br 0.8177 0.0686 0.3671
Br 0.8722 0.7231 0.0520
Br 0.9428 0.3054 0.0242

***

(2)
Entry from Alexandria via LeMat-Bulk: an optimized crystal structure of TlCoSe2 (PBE).

Values from the calculation:
SG = R3m
Uncorrected formation energy = -0.28 eV/atom
D(E_F) = 0.450 states/eV per atom

Cell: 7.7924 7.7924 7.7924 Å, 27.03 27.03 27.03°
Element x y z (fractional)
Tl 0.0000 0.0000 0.0000
Co 0.1638 0.1638 0.1638
Se 0.5499 0.5499 0.5499
Se 0.7781 0.7781 0.7781

***

(3)
Entry from Alexandria via LeMat-Bulk: an optimized crystal structure of Nd8Cd2Ni (PBE).

Values from the calculation:
Formation energy from the elements = -114 meV/atom
SG = C2/m
D(E_F) = 1.146 states/eV per atom

Cell: 9.5448 9.5448 6.9773 Å, 102.53 102.53 32.65°
Element x y z (fractional)
Nd 0.0186 0.0186 0.2764
Nd 0.2026 0.2026 0.7954
Nd 0.3522 0.3522 0.5415
Nd 0.4103 0.4103 0.0607
Nd 0.5897 0.5897 0.9393
Nd 0.6478 0.6478 0.4585
Nd 0.7974 0.7974 0.2046
Nd 0.9814 0.9814 0.7236
Cd 0.1898 0.1898 0.2369
Cd 0.8102 0.8102 0.7631
Ni 0.5000 0.5000 0.5000

***

(4)
Entry from Alexandria via LeMat-Bulk: an optimized crystal structure of La4TbGe4 (PBE).

Values from the calculation:
Formation energy from the elements = -635 meV/atom
SG = P4_2/n
D(E_F) = 0.950 states/eV per atom

Cell: 9.1539 9.1539 6.3064 Å, 90.00 90.00 90.00°
Element x y z (fractional)
La 0.0461 0.6703 0.1124
La 0.1703 0.9539 0.6124
La 0.3297 0.5461 0.6124
La 0.4539 0.8297 0.1124
La 0.5461 0.1703 0.8876
La 0.6703 0.4539 0.3876
La 0.8297 0.0461 0.3876
La 0.9539 0.3297 0.8876
Tb 0.2500 0.2500 0.2500
Tb 0.7500 0.7500 0.7500
Ge 0.0111 0.6297 0.5997
Ge 0.1297 0.9889 0.0997
Ge 0.3703 0.5111 0.0997
Ge 0.4889 0.8703 0.5997
Ge 0.5111 0.1297 0.4003
Ge 0.6297 0.4889 0.9003
Ge 0.8703 0.0111 0.9003
Ge 0.9889 0.3703 0.4003

***

Energy readings, ordered: -3.48, -4.39, -4.27, -5.39 eV per atom